Rb2HfBr6Cl: relaxed, GGA-PBE.

It has space group P1 (No. 1), with a = 7.7277 Å, b = 7.9556 Å, c = 8.4477 Å, α = 66.59°, β = 62.92° and γ = 61.21°. The asymmetric unit holds Rb at (0.0000, 0.0000, 0.0000), Rb at (0.4906, 0.4175, 0.5582), Hf at (0.7746, 0.6926, 0.7449), Br at (0.0235, 0.8637, 0.4869), Br at (0.4717, 0.5497, 0.9657), Br at (0.4897, 0.8809, 0.5761), Br at (0.5835, 0.9786, 0.9159), Br at (0.9533, 0.4008, 0.5842), Br at (0.9954, 0.4870, 0.9613) and Cl at (0.5405, 0.2137, 0.2681).

As for the uncorrected formation energy: -1410.4 meV per atom. For the offset from the most stable computed form, the calculation gives 0.0000 eV per atom. The total energy is -0.2784 Ry/atom.